# 1
Below is crystalline RbBeHg at its relaxed geometry, with properties calculated at the GGA-PBE level.

Cell lengths 5.2127, 5.2127, 5.2127 Å; angles 60.00, 60.00, 60.00 degrees
With the nearest neighbours (Å) after each atom.
Fractional coordinates of all 3 atoms:
Hg 0.2500 0.2500 0.2500  4 Be 3.19
Rb 0.7500 0.7500 0.7500  4 Be 3.19
Be 0.0000 0.0000 0.0000  4 Hg 3.19, 4 Rb 3.19

Output
- space-group type = F-43m
- E above lowest polymorph (meV per atom) = 0
- V (Å³/f.u.) = 100.2
- E (eV/atom) = -0.94
- mass density (g cm⁻³) = 4.9

---

# 2
Below is crystalline LaZnInSe3 at its relaxed geometry, with properties calculated at the GGA-PBE level.

Cell lengths 14.6915, 4.2548, 11.6633 Å; angles 90.00, 90.00, 90.00 degrees
With the nearest neighbours (Å) after each atom.
Fractional coordinates of all 24 atoms:
Zn 0.0191 0.7500 0.0956  4 Se 2.47-2.57
Zn 0.9809 0.2500 0.9044  4 Se 2.47-2.57
Zn 0.4809 0.2500 0.5956  4 Se 2.47-2.57
Zn 0.5191 0.7500 0.4044  4 Se 2.47-2.57
Se 0.8981 0.7500 0.4243  3 La 2.99-3.01, 2 In 3.18
Se 0.6019 0.2500 0.9243  3 La 2.99-3.01, 2 In 3.18
Se 0.1450 0.7500 0.2363  1 Zn 2.47
Se 0.3981 0.7500 0.0757  3 La 2.99-3.01, 2 In 3.18
Se 0.1019 0.2500 0.5757  3 La 2.99-3.01, 2 In 3.18
Se 0.9209 0.2500 0.1080  3 Zn 2.53-2.57
Se 0.0791 0.7500 0.8920  3 Zn 2.53-2.57
Se 0.3550 0.2500 0.7363  1 Zn 2.47
Se 0.6450 0.7500 0.2637  1 Zn 2.47
Se 0.5791 0.7500 0.6080  3 Zn 2.53-2.57
Se 0.4209 0.2500 0.3920  3 Zn 2.53-2.57
Se 0.8550 0.2500 0.7637  1 Zn 2.47
In 0.7600 0.7500 0.9597  4 Se 3.18-3.42
In 0.2600 0.7500 0.5403  4 Se 3.18-3.42
In 0.2400 0.2500 0.0403  4 Se 3.18-3.42
In 0.7400 0.2500 0.4597  4 Se 3.18-3.42
La 0.4740 0.7500 0.8374  6 Se 2.99-3.09
La 0.9740 0.7500 0.6626  6 Se 2.99-3.09
La 0.0260 0.2500 0.3374  6 Se 2.99-3.09
La 0.5260 0.2500 0.1626  6 Se 2.99-3.09

Output
- space-group type = Pnma
- E above lowest polymorph (meV per atom) = 23
- V (Å³/f.u.) = 182.3
- E (eV/atom) = -4.32
- mass density (g cm⁻³) = 5.1

---

# 3
Below is crystalline Si4Ag10O13 at its relaxed geometry, with properties calculated at the GGA-PBE level.

Cell lengths 11.3860, 9.1869, 8.0213 Å; angles 101.17, 98.23, 112.58 degrees
With the nearest neighbours (Å) after each atom.
Fractional coordinates of all 54 atoms:
Ag 0.1672 0.1330 0.5724  3 O 2.30-2.33
Ag 0.3621 0.4091 0.8777  2 O 2.17-2.21
Ag 0.4326 0.9213 0.6833  2 O 2.20-2.24
Ag 0.6379 0.5909 0.1223  2 O 2.17-2.21
Ag 0.0663 0.1692 0.2091  3 O 2.21-2.41
Ag 0.9337 0.8308 0.7909  3 O 2.21-2.41
Ag 0.5674 0.0787 0.3167  2 O 2.20-2.24
Ag 0.4291 0.8184 0.9957  3 O 2.27-2.50
Ag 0.5665 0.6282 0.6758  2 O 2.22
Ag 0.4335 0.3718 0.3242  2 O 2.22
Ag 0.8328 0.8670 0.4276  3 O 2.30-2.33
Ag 0.0896 0.7359 0.5722  3 O 2.27-2.41
Ag 0.0756 0.2770 0.8409  3 O 2.23-2.40
Ag 0.4530 0.2359 0.6270  2 O 2.21-2.22
Ag 0.9104 0.2641 0.4278  3 O 2.27-2.41
Ag 0.5470 0.7641 0.3730  2 O 2.21-2.22
Ag 0.0877 0.5961 0.8504  3 O 2.27-2.52
Ag 0.5709 0.1816 0.0043  3 O 2.27-2.50
Ag 0.9123 0.4039 0.1496  3 O 2.27-2.52
Ag 0.9244 0.7230 0.1591  3 O 2.23-2.40
O 0.6201 0.7911 0.0313  1 Si 1.63
O 0.8795 0.9597 0.1876  1 Si 1.64
O 0.8803 0.1104 0.6341  1 Si 1.62
O 0.3765 0.5730 0.1679  1 Si 1.62
O 0.1124 0.4159 0.1177  1 Si 1.63
O 0.2595 0.6246 0.4320  2 Si 1.66-1.68
O 0.6278 0.4101 0.2726  1 Si 1.64
O 0.2279 0.7379 0.1571  2 Si 1.67
O 0.1197 0.8896 0.3659  1 Si 1.62
O 0.1205 0.0403 0.8124  1 Si 1.64
O 0.7721 0.2621 0.8429  2 Si 1.67
O 0.3799 0.2089 0.9687  1 Si 1.63
O 0.2588 0.3324 0.4328  1 Si 1.65
O 0.7284 0.1241 0.1756  1 Si 1.66
O 0.2169 0.0105 0.1168  2 Si 1.65-1.66
O 0.7405 0.3754 0.5680  2 Si 1.66-1.68
O 0.1087 0.4402 0.6092  1 Si 1.63
O 0.8876 0.5841 0.8823  1 Si 1.63
O 0.3722 0.5899 0.7274  1 Si 1.64
O 0.7412 0.6676 0.5672  1 Si 1.65
O 0.6236 0.4270 0.8321  1 Si 1.62
O 0.6170 0.9816 0.5988  1 Si 1.63
O 0.2716 0.8759 0.8244  1 Si 1.66
O 0.7831 0.9895 0.8832  2 Si 1.65-1.66
O 0.8913 0.5598 0.3908  1 Si 1.63
O 0.3830 0.0184 0.4012  1 Si 1.63
Si 0.2503 0.0355 0.9265  4 O 1.63-1.66
Si 0.7548 0.4188 0.7832  4 O 1.62-1.67
Si 0.2487 0.4925 0.5540  4 O 1.63-1.68
Si 0.7497 0.9645 0.0735  4 O 1.63-1.66
Si 0.7619 0.0817 0.7322  4 O 1.62-1.67
Si 0.2381 0.9183 0.2678  4 O 1.62-1.67
Si 0.2452 0.5812 0.2168  4 O 1.62-1.67
Si 0.7513 0.5075 0.4460  4 O 1.63-1.68

Output
- space-group type = P-1
- V (Å³/f.u.) = 368.9
- E (eV/atom) = -5.48
- mass density (g cm⁻³) = 6.3

---

# 4
Below is crystalline RbCoAs at its relaxed geometry, with properties calculated at the GGA-PBE level.

Cell lengths 4.8558, 4.8558, 4.8558 Å; angles 60.00, 60.00, 60.00 degrees
With the nearest neighbours (Å) after each atom.
Fractional coordinates of all 3 atoms:
As 0.0000 0.0000 0.0000  4 Rb 2.97, 4 Co 2.97
Rb 0.7500 0.7500 0.7500  4 As 2.97
Co 0.2500 0.2500 0.2500  4 As 2.97

Output
- space-group type = F-43m
- V (Å³/f.u.) = 81.0
- E (eV/atom) = -3.16
- mass density (g cm⁻³) = 4.5